A plane-wave DFT calculation with PBE was carried out for a geometry-optimized TiCuAs2 structure.

a b c (Å): 3.7883 3.7883 16.7609
angles (deg): 90.00 90.00 120.00
Space group R3m (No. 160, hexagonal axes)
Unique sites:
Ti 0.0000 0.0000 0.0000 (multiplicity 3)
Cu 0.0000 0.0000 0.8278 (multiplicity 3)
As 0.0000 0.0000 0.4175 (multiplicity 3)
As 0.0000 0.0000 0.5817 (multiplicity 3)

Values from the calculation:
Calculated volume: 208.3 Å³ per cell
Fermi-level density of states: 1.80 states/eV/f.u.
Energy of formation from the pure elements: -0.29 eV/atom
Total magnetization: 0.0 Bohr magnetons per cell
Crystal system: trigonal

***

A plane-wave DFT calculation with PBE was carried out for a geometry-optimized Nb2In2Bi structure.

a b c (Å): 7.367 7.367 4.196
angles (deg): 90.00 90.00 90.00
Space group P4/mbm (No. 127)
Unique sites:
Nb 0.131 0.369 0.000 (multiplicity 4)
In 0.164 0.664 0.500 (multiplicity 4)
Bi 0.000 0.000 0.000 (multiplicity 2)

Values from the calculation:
Calculated volume: 227.7 Å³ per cell
Fermi-level density of states: 3.58 states/eV/f.u.
Energy of formation from the pure elements: 0.19 eV/atom
Total magnetization: 0.0 Bohr magnetons per cell
Crystal system: tetragonal

***

A plane-wave DFT calculation with PBE was carried out for a geometry-optimized LiCe2Er structure.

a b c (Å): 3.264 3.264 10.328
angles (deg): 90.00 90.00 90.00
Space group P4/mmm (No. 123)
Unique sites:
Li 0.000 0.000 0.000 (multiplicity 1)
Ce 0.500 0.500 0.243 (multiplicity 2)
Er 0.000 0.000 0.500 (multiplicity 1)

Values from the calculation:
Calculated volume: 110.0 Å³ per cell
Fermi-level density of states: 10.99 states/eV/f.u.
Energy of formation from the pure elements: 0.20 eV/atom
Total magnetization: 1.8 Bohr magnetons per cell
Crystal system: tetragonal

***

A plane-wave DFT calculation with PBE was carried out for a geometry-optimized PmZnCo structure.

a b c (Å): 3.361 3.361 9.961
angles (deg): 90.00 90.00 90.00
Space group I4mm (No. 107)
Unique sites:
Pm 0.000 0.000 0.000 (multiplicity 2)
Zn 0.000 0.000 0.710 (multiplicity 2)
Co 0.000 0.000 0.313 (multiplicity 2)

Values from the calculation:
Calculated volume: 112.5 Å³ per cell
Fermi-level density of states: 2.33 states/eV/f.u.
Energy of formation from the pure elements: -0.03 eV/atom
Total magnetization: 1.5 Bohr magnetons per cell
Crystal system: tetragonal

***

A plane-wave DFT calculation with PBE was carried out for a geometry-optimized CsSrHg3 structure.

a b c (Å): 4.658 32.046 5.139
angles (deg): 90.00 90.00 90.00
Space group Cmcm (No. 63)
Unique sites:
Cs 0.000 0.076 0.250 (multiplicity 4)
Sr 0.000 0.208 0.750 (multiplicity 4)
Hg 0.000 0.313 0.750 (multiplicity 4)
Hg 0.000 0.370 0.250 (multiplicity 4)
Hg 0.000 0.472 0.250 (multiplicity 4)

Values from the calculation:
Calculated volume: 767.0 Å³ per cell
Fermi-level density of states: 3.66 states/eV/f.u.
Energy of formation from the pure elements: -0.33 eV/atom
Total magnetization: 0.0 Bohr magnetons per cell
Crystal system: orthorhombic

***

A plane-wave DFT calculation with PBE was carried out for a geometry-optimized CaPm2Tl structure.

a b c (Å): 4.149 4.149 7.497
angles (deg): 90.00 90.00 90.00
Space group P4/mmm (No. 123)
Unique sites:
Ca 0.000 0.000 0.000 (multiplicity 1)
Pm 0.500 0.500 0.272 (multiplicity 2)
Tl 0.000 0.000 0.500 (multiplicity 1)

Values from the calculation:
Calculated volume: 129.0 Å³ per cell
Fermi-level density of states: 5.26 states/eV/f.u.
Energy of formation from the pure elements: -0.10 eV/atom
Total magnetization: 0.0 Bohr magnetons per cell
Crystal system: tetragonal

***

A plane-wave DFT calculation with PBE was carried out for a geometry-optimized ZrSnSeN2 structure.

a b c (Å): 4.083 4.083 5.230
angles (deg): 90.00 90.00 90.00
Space group P4/mmm (No. 123)
Unique sites:
Zr 0.000 0.000 0.000 (multiplicity 1)
Sn 0.500 0.500 0.500 (multiplicity 1)
Se 0.500 0.500 0.000 (multiplicity 1)
N 0.000 0.500 0.500 (multiplicity 2)

Values from the calculation:
Raw formation energy: 0.76 eV/atom
Calculated volume: 87.2 Å³ per cell
Fermi-level density of states: 1.48 states/eV/f.u.
Total magnetization: 0.0 Bohr magnetons per cell
Crystal system: tetragonal

***

A plane-wave DFT calculation with PBE was carried out for a geometry-optimized MnCN3 structure.

a b c (Å): 3.260 3.260 3.260
angles (deg): 90.00 90.00 90.00
Space group Pm-3m (No. 221)
Unique sites:
Mn 0.000 0.000 0.000 (multiplicity 1)
C 0.500 0.500 0.500 (multiplicity 1)
N 0.000 0.500 0.500 (multiplicity 3)

Values from the calculation:
Raw formation energy: 2.27 eV/atom
Calculated volume: 34.6 Å³ per cell
Fermi-level density of states: 6.42 states/eV/f.u.
Total magnetization: 0.0 Bohr magnetons per cell
Crystal system: cubic

***

A plane-wave DFT calculation with PBE was carried out for a geometry-optimized ZnIn2Co structure.

a b c (Å): 2.870 4.401 11.996
angles (deg): 90.00 90.00 90.00
Space group Imm2 (No. 44)
Unique sites:
Zn 0.000 0.000 0.000 (multiplicity 2)
In 0.000 0.000 0.369 (multiplicity 2)
In 0.000 0.500 0.169 (multiplicity 2)
Co 0.000 0.500 0.675 (multiplicity 2)

Values from the calculation:
Calculated volume: 151.5 Å³ per cell
Fermi-level density of states: 3.03 states/eV/f.u.
Energy of formation from the pure elements: 0.07 eV/atom
Total magnetization: 0.2 Bohr magnetons per cell
Crystal system: orthorhombic

***

A plane-wave DFT calculation with PBE was carried out for a geometry-optimized NaSO5 structure.

a b c (Å): 8.732 6.310 7.216
angles (deg): 90.00 115.06 90.00
Space group C2/c (No. 15)
Unique sites:
Na 0.000 0.035 0.250 (multiplicity 4)
S 0.000 0.500 0.000 (multiplicity 4)
O 0.000 0.428 0.250 (multiplicity 4)
O 0.013 0.258 0.967 (multiplicity 8)
O 0.195 0.483 0.602 (multiplicity 8)

Values from the calculation:
Raw formation energy: -0.48 eV/atom
Calculated volume: 360.2 Å³ per cell
Fermi-level density of states: 2.36 states/eV/f.u.
Total magnetization: 3.9 Bohr magnetons per cell
Crystal system: monoclinic

***

A plane-wave DFT calculation with PBE was carried out for a geometry-optimized PRu structure.

a b c (Å): 2.952 4.469 4.012
angles (deg): 90.00 90.00 90.00
Space group Pmmn (No. 59, origin choice 2)
Unique sites:
P 0.250 0.250 0.132 (multiplicity 2)
Ru 0.250 0.750 0.360 (multiplicity 2)

Values from the calculation:
Calculated volume: 52.9 Å³ per cell
Fermi-level density of states: 1.27 states/eV/f.u.
Energy of formation from the pure elements: -0.37 eV/atom
Total magnetization: 0.0 Bohr magnetons per cell
Crystal system: orthorhombic

***

A plane-wave DFT calculation with PBE was carried out for a geometry-optimized LaDy2Cd5 structure.

a b c (Å): 5.253 5.253 15.043
angles (deg): 90.00 90.00 90.00
Space group I4/mmm (No. 139)
Unique sites:
La 0.000 0.000 0.000 (multiplicity 2)
Dy 0.000 0.000 0.264 (multiplicity 4)
Cd 0.000 0.000 0.500 (multiplicity 2)
Cd 0.000 0.500 0.126 (multiplicity 8)

Values from the calculation:
Calculated volume: 415.0 Å³ per cell
Fermi-level density of states: 4.21 states/eV/f.u.
Energy of formation from the pure elements: -0.32 eV/atom
Total magnetization: 0.0 Bohr magnetons per cell
Crystal system: tetragonal

***

A plane-wave DFT calculation with PBE was carried out for a geometry-optimized Dy2ErTh3Bi6 structure.

a b c (Å): 19.751 4.540 9.039
angles (deg): 90.00 103.05 90.00
Space group C2/m (No. 12)
Unique sites:
Dy 0.167 0.000 0.333 (multiplicity 4)
Er 0.000 0.500 0.000 (multiplicity 2)
Th 0.000 0.500 0.500 (multiplicity 2)
Th 0.167 0.000 0.833 (multiplicity 4)
Bi 0.002 0.000 0.243 (multiplicity 4)
Bi 0.164 0.500 0.088 (multiplicity 4)
Bi 0.169 0.500 0.577 (multiplicity 4)

Values from the calculation:
Calculated volume: 789.5 Å³ per cell
Fermi-level density of states: 6.61 states/eV/f.u.
Energy of formation from the pure elements: -0.70 eV/atom
Total magnetization: 0.0 Bohr magnetons per cell
Crystal system: monoclinic